No. 1
{"formula": "RbTbSmTe3", "functional": "PBE", "state": "relaxed", "lattice": [[2.4282, -8.4374, 0.0000], [2.4282, 8.4374, 0.0000], [0.0000, 0.0000, 11.8160]], "species": ["Te", "Te", "Te", "Te", "Te", "Te", "Sm", "Sm", "Rb", "Rb", "Tb", "Tb"], "frac_coords": [[0.8774, 0.1226, 0.4639], [0.4256, 0.5744, 0.7500], [0.5744, 0.4256, 0.2500], [0.8774, 0.1226, 0.0361], [0.1226, 0.8774, 0.9639], [0.1226, 0.8774, 0.5361], [0.9717, 0.0283, 0.2500], [0.0283, 0.9717, 0.7500], [0.7539, 0.2461, 0.7500], [0.2461, 0.7539, 0.2500], [0.5000, 0.5000, 0.0000], [0.5000, 0.5000, 0.5000]], "polymorph_energy_mev_per_atom": 97.0, "density_g_cm3": 5.33}

***

No. 2
{"formula": "BaNdCuTeSe2", "functional": "PBE", "state": "relaxed", "lattice": [[2.1591, -7.3466, 0.0000], [2.1591, 7.3466, 0.0000], [0.0000, 0.0000, 11.5459]], "species": ["Se", "Se", "Se", "Se", "Te", "Te", "Ba", "Ba", "Cu", "Cu", "Nd", "Nd"], "frac_coords": [[0.8731, 0.1269, 0.9247], [0.1269, 0.8731, 0.4247], [0.8731, 0.1269, 0.5753], [0.1269, 0.8731, 0.0753], [0.5837, 0.4163, 0.7500], [0.4163, 0.5837, 0.2500], [0.7306, 0.2694, 0.2500], [0.2694, 0.7306, 0.7500], [0.9737, 0.0263, 0.7500], [0.0263, 0.9737, 0.2500], [0.5000, 0.5000, 0.0000], [0.5000, 0.5000, 0.5000]], "density_g_cm3": 5.72}

***

No. 3
{"formula": "ZrUCd", "functional": "PBE", "state": "relaxed", "lattice": [[3.8759, -2.9740, -0.4397], [-0.6654, -4.8004, -0.7580], [1.0977, -1.9706, -4.3558]], "species": ["Cd", "Zr", "U"], "frac_coords": [[0.2500, 0.2500, 0.2500], [0.7500, 0.7500, 0.7500], [0.0000, 0.0000, 0.0000]], "delta_e_f_ev_per_atom": 1.19, "density_g_cm3": 8.79}

***

No. 4
{"formula": "CsNdS2", "functional": "PBE", "state": "relaxed", "lattice": [[2.1190, 1.2234, 8.0669], [-2.1190, 1.2234, 8.0669], [0.0000, -2.4468, 8.0669]], "species": ["Cs", "Nd", "S", "S"], "frac_coords": [[0.0000, 0.0000, 0.0000], [0.5000, 0.5000, 0.5000], [0.7704, 0.7704, 0.7704], [0.2296, 0.2296, 0.2296]], "density_g_cm3": 4.52}

***

No. 5
{"formula": "LiLu2Al", "functional": "PBE", "state": "relaxed", "lattice": [[0.0000, 3.5848, 3.5848], [3.5848, 0.0000, 3.5848], [3.5848, 3.5848, 0.0000]], "species": ["Lu", "Lu", "Li", "Al"], "frac_coords": [[0.7500, 0.7500, 0.7500], [0.0000, 0.0000, 0.0000], [0.2500, 0.2500, 0.2500], [0.5000, 0.5000, 0.5000]], "density_g_cm3": 6.92}

***

No. 6
{"formula": "ZrAlCuOs", "functional": "PBE", "state": "relaxed", "lattice": [[-0.6406, -4.3417, -0.7940], [-2.2798, -2.4877, 2.9164], [-4.0677, -1.4989, -1.0481]], "species": ["Os", "Cu", "Zr", "Al"], "frac_coords": [[0.2500, 0.2500, 0.2500], [0.7500, 0.7500, 0.7500], [0.5000, 0.5000, 0.5000], [0.0000, 0.0000, 0.0000]], "polymorph_energy_mev_per_atom": 0.0, "density_g_cm3": 9.85}

***

No. 7
{"formula": "SrZn2SnAu", "functional": "PBE", "state": "relaxed", "lattice": [[-2.2320, 2.2320, 5.7878], [2.2320, -2.2320, 5.7878], [2.2320, 2.2320, -5.7878]], "species": ["Au", "Zn", "Zn", "Sr", "Sn"], "frac_coords": [[0.6217, 0.6217, 0.0000], [0.2456, 0.7456, 0.5000], [0.7456, 0.2456, 0.5000], [0.0046, 0.0046, 0.0000], [0.3826, 0.3826, 0.0000]], "density_g_cm3": 7.69}

***

No. 8
{"formula": "ErNbAu", "functional": "PBE", "state": "relaxed", "lattice": [[0.0000, 3.2817, 3.2817], [3.2817, 0.0000, 3.2817], [3.2817, 3.2817, 0.0000]], "species": ["Er", "Au", "Nb"], "frac_coords": [[0.0000, 0.0000, 0.0000], [0.5000, 0.5000, 0.5000], [0.2500, 0.2500, 0.2500]], "polymorph_energy_mev_per_atom": 0.0, "delta_e_f_ev_per_atom": 0.58, "density_g_cm3": 10.74}

***

The records above give, respectively, calculated total energy values of -4.496 -4.873 -5.719 -5.278 -3.630 -7.153 -2.746 -5.397 eV/atom.